No. 1
A relaxed Dy3ThIn3 crystal. Source: Alexandria, functional GGA-PBE.

Calculated values
energy relative to the elements	-0.158	eV per atom
spin magnetization	0.00	μB/f.u.

a b c (Å): 9.0672 9.0672 5.5611
angles (deg): 90.00 90.00 120.00
Space group P6_3/m (No. 176)
Inequivalent atoms, fractional coordinates:
1 Dy 0.0937 0.4531 0.2500
2 Th 0.3333 0.6667 0.7500
3 In 0.0436 0.2307 0.7500

No. 2
A relaxed DyTh2In crystal. Source: Alexandria, functional GGA-PBE.

Calculated values
energy relative to the elements	-0.018	eV per atom
spin magnetization	0.00	μB/f.u.
energy above the most stable polymorph in this dataset	16.6	kJ/mol of atoms

a b c (Å): 3.5170 3.5170 34.5689
angles (deg): 90.00 90.00 120.00
Space group R3m (No. 160, hexagonal axes)
Inequivalent atoms, fractional coordinates:
1 Dy 0.0000 0.0000 0.0000
2 Th 0.0000 0.0000 0.4188
3 Th 0.0000 0.0000 0.5800
4 In 0.0000 0.0000 0.1657

No. 3
A relaxed Dy6ThIn crystal. Source: Alexandria, functional GGA-PBE.

Calculated values
energy relative to the elements	-0.093	eV per atom
spin magnetization	0.00	μB/f.u.

a b c (Å): 4.9182 4.9182 9.9409
angles (deg): 90.00 90.00 90.00
Space group P4/mmm (No. 123)
Inequivalent atoms, fractional coordinates:
1 Dy 0.0000 0.0000 0.0000
2 Dy 0.0000 0.0000 0.5000
3 Dy 0.0000 0.5000 0.2459
4 Th 0.5000 0.5000 0.5000
5 In 0.5000 0.5000 0.0000

No. 4
A relaxed DyThIn3 crystal. Source: Alexandria, functional GGA-PBE.

Calculated values
energy relative to the elements	0.328	eV per atom
spin magnetization	0.00	μB/f.u.

a b c (Å): 5.9021 5.9021 22.6121
angles (deg): 90.00 90.00 90.00
Space group I-4m2 (No. 119)
Inequivalent atoms, fractional coordinates:
1 Dy 0.0000 0.0000 0.0799
2 Th 0.0000 0.0000 0.5000
3 Th 0.0000 0.5000 0.7500
4 In 0.0000 0.2476 0.6274
5 In 0.0000 0.5000 0.0142